No. 1
VASP calculation (PBE) on a relaxed Na3Si3N5 crystal.

Unit cell a=5.3655 b=6.7858 c=7.9714 alpha=108.21 beta=97.59 gamma=97.84
Positions (direct):
Na 0.1470 0.3344 0.3974
Na 0.1541 0.1173 0.7194
Na 0.3332 0.9307 0.1191
Na 0.6668 0.0693 0.8809
Na 0.8459 0.8827 0.2806
Na 0.8530 0.6656 0.6026
Si 0.1924 0.4568 0.0848
Si 0.4005 0.6118 0.7879
Si 0.4191 0.8187 0.4791
Si 0.5809 0.1813 0.5209
Si 0.5995 0.3882 0.2121
Si 0.8076 0.5432 0.9152
N 0.1385 0.5512 0.8984
N 0.2776 0.0153 0.4258
N 0.2949 0.7041 0.6235
N 0.3333 0.2388 0.0454
N 0.4294 0.6101 0.2756
N 0.5706 0.3899 0.7244
N 0.6667 0.7612 0.9546
N 0.7051 0.2959 0.3765
N 0.7224 0.9847 0.5742
N 0.8615 0.4488 0.1016

Values from the calculation:
E_form (uncorrected) = -798 meV/atom

=====

No. 2
VASP calculation (PBE) on a relaxed NaSiN2 crystal.

Unit cell a=5.0077 b=5.0077 c=8.2519 alpha=90.00 beta=90.00 gamma=90.00
Positions (direct):
Na 0.0000 0.0000 0.0000
Na 0.0000 0.5000 0.2500
Na 0.5000 0.0000 0.7500
Na 0.5000 0.5000 0.5000
Si 0.0000 0.0000 0.5000
Si 0.0000 0.5000 0.7500
Si 0.5000 0.0000 0.2500
Si 0.5000 0.5000 0.0000
N 0.1176 0.2500 0.6250
N 0.2500 0.6176 0.8750
N 0.2500 0.8824 0.3750
N 0.3824 0.2500 0.1250
N 0.6176 0.7500 0.1250
N 0.7500 0.1176 0.3750
N 0.7500 0.3824 0.8750
N 0.8824 0.7500 0.6250

Values from the calculation:
E_form (uncorrected) = -493 meV/atom

=====

No. 3
VASP calculation (PBE) on a relaxed NaSiN3 crystal.

Unit cell a=3.6312 b=3.6312 c=3.6312 alpha=90.00 beta=90.00 gamma=90.00
Positions (direct):
Na 0.0000 0.0000 0.0000
Si 0.5000 0.5000 0.5000
N 0.0000 0.5000 0.5000
N 0.5000 0.0000 0.5000
N 0.5000 0.5000 0.0000

Values from the calculation:
E_form (uncorrected) = 565 meV/atom

=====

No. 4
VASP calculation (PBE) on a relaxed Na2Si2N crystal.

Unit cell a=3.3330 b=3.3330 c=17.2889 alpha=90.00 beta=90.00 gamma=90.00
Positions (direct):
Na 0.0000 0.0000 0.0762
Na 0.0000 0.0000 0.9238
Na 0.5000 0.5000 0.4238
Na 0.5000 0.5000 0.5762
Si 0.0000 0.5000 0.2500
Si 0.0000 0.5000 0.7500
Si 0.5000 0.0000 0.2500
Si 0.5000 0.0000 0.7500
N 0.0000 0.0000 0.5000
N 0.5000 0.5000 0.0000

Values from the calculation:
relative energy among the computed polymorphs = 0 meV per atom
E_form (uncorrected) = 676 meV/atom

=====

No. 5
VASP calculation (PBE) on a relaxed NaSiN3 crystal.

Unit cell a=4.1921 b=4.1921 c=4.1921 alpha=90.00 beta=90.00 gamma=90.00
Positions (direct):
Na 0.0000 0.0000 0.0000
Si 0.5000 0.5000 0.5000
N 0.0000 0.0000 0.5000
N 0.0000 0.5000 0.0000
N 0.5000 0.0000 0.0000

Values from the calculation:
E_form (uncorrected) = 2820 meV/atom

=====

No. 6
VASP calculation (PBE) on a relaxed NaSiN2 crystal.

Unit cell a=2.8974 b=2.8974 c=18.8887 alpha=90.00 beta=90.00 gamma=120.00
Positions (direct):
Na 0.0000 0.0000 0.0000
Na 0.3333 0.6667 0.6667
Na 0.6667 0.3333 0.3333
Si 0.0000 0.0000 0.5000
Si 0.3333 0.6667 0.1667
Si 0.6667 0.3333 0.8333
N 0.0000 0.0000 0.1172
N 0.0000 0.0000 0.8828
N 0.3333 0.6667 0.5495
N 0.3333 0.6667 0.7839
N 0.6667 0.3333 0.2162
N 0.6667 0.3333 0.4505

Values from the calculation:
E_form (uncorrected) = 14 meV/atom

=====

| no. | spin magnetization (μB per atom) |
| --- | --- |
| 1 | 0.000 |
| 2 | 0.250 |
| 3 | 0.293 |
| 4 | 0.000 |
| 5 | 1.200 |
| 6 | 0.250 |